(1)
The following is a DFT calculation (GGA-PBE) of crystalline In2GaCl6 at its relaxed geometry.

The energy above the most stable polymorph in this dataset comes out at 0.0 kJ/mol of atoms. The value obtained for the formation energy (no corrections) is -0.95 eV per atom. The value obtained for the raw total energy is -28.15 eV per formula unit. As for the total moment: 0.00 μB per formula unit.

The structure belongs to space group C2/c (No. 15); the cell edges are 15.631, 11.366 and 11.010 Å and the angles 90.00°, 130.69° and 90.00°. The distinct sites, in fractional coordinates, are In at (0.130, 0.011, 0.492), Ga at (0.000, 0.372, 0.250), Cl at (0.102, 0.264, 0.472), Cl at (0.113, 0.482, 0.244) and Cl at (0.122, 0.006, 0.736).

(2)
The following is a DFT calculation (GGA-PBE) of crystalline In2GaCl at its relaxed geometry.

The energy above the most stable polymorph in this dataset comes out at 3.1 kJ/mol of atoms. The value obtained for the formation energy (no corrections) is -0.22 eV per atom. The value obtained for the raw total energy is -11.25 eV per formula unit. As for the total moment: 0.00 μB per formula unit.

The structure belongs to space group R-3m (No. 166, hexagonal axes); the cell edges are 4.3981, 4.3981 and 23.2953 Å and the angles 90.00°, 90.00° and 120.00°. The distinct sites, in fractional coordinates, are In at (0.0000, 0.0000, 0.1118), Ga at (0.0000, 0.0000, 0.5000) and Cl at (0.0000, 0.0000, 0.0000).

(3)
The following is a DFT calculation (GGA-PBE) of crystalline InGaCl4 at its relaxed geometry.

The value obtained for the formation energy (no corrections) is -1.07 eV per atom. The value obtained for the raw total energy is -19.59 eV per formula unit. As for the total moment: 0.00 μB per formula unit.

The structure belongs to space group I4_1/amd (No. 141, origin choice 2); the cell edges are 10.117, 10.117 and 8.229 Å and the angles 90.00°, 90.00° and 90.00°. The distinct sites, in fractional coordinates, are In at (0.000, 0.250, 0.375), Ga at (0.000, 0.250, 0.875) and Cl at (0.000, 0.076, 0.713).

(4)
The following is a DFT calculation (GGA-PBE) of crystalline InGa2Cl7 at its relaxed geometry.

The value obtained for the formation energy (no corrections) is -1.09 eV per atom. The value obtained for the raw total energy is -32.64 eV per formula unit. As for the total moment: 0.00 μB per formula unit.

The structure belongs to space group Pna2_1 (No. 33); the cell edges are 12.619, 9.962 and 10.370 Å and the angles 90.00°, 90.00° and 90.00°. The distinct sites, in fractional coordinates, are In at (0.105, 0.158, 0.000), Ga at (0.119, 0.610, 0.857), Ga at (0.179, 0.053, 0.625), Cl at (0.016, 0.776, 0.805), Cl at (0.027, 0.139, 0.681), Cl at (0.038, 0.461, 0.977), Cl at (0.164, 0.875, 0.504), Cl at (0.210, 0.524, 0.699), Cl at (0.219, 0.533, 0.293) and Cl at (0.242, 0.714, 0.993).

(5)
The following is a DFT calculation (GGA-PBE) of crystalline In2GaCl at its relaxed geometry.

The energy above the most stable polymorph in this dataset comes out at 0.0 kJ/mol of atoms. The value obtained for the formation energy (no corrections) is -0.26 eV per atom. The value obtained for the raw total energy is -11.38 eV per formula unit. As for the total moment: 0.00 μB per formula unit.

The structure belongs to space group P4/mmm (No. 123); the cell edges are 5.466, 5.466 and 3.263 Å and the angles 90.00°, 90.00° and 90.00°. The distinct sites, in fractional coordinates, are In at (0.000, 0.500, 0.000), Ga at (0.000, 0.000, 0.500) and Cl at (0.500, 0.500, 0.500).

(6)
The following is a DFT calculation (GGA-PBE) of crystalline In2GaCl6 at its relaxed geometry.

The energy above the most stable polymorph in this dataset comes out at 8.8 kJ/mol of atoms. The value obtained for the formation energy (no corrections) is -0.86 eV per atom. The value obtained for the raw total energy is -27.33 eV per formula unit. As for the total moment: 0.00 μB per formula unit.

The structure belongs to space group C2/m (No. 12); the cell edges are 11.878, 6.957 and 6.606 Å and the angles 90.00°, 113.66° and 90.00°. The distinct sites, in fractional coordinates, are In at (0.233, 0.000, 0.209), Ga at (0.000, 0.500, 0.000), Cl at (0.075, 0.259, 0.826) and Cl at (0.194, 0.500, 0.311).

(7)
The following is a DFT calculation (GGA-PBE) of crystalline InGaCl2 at its relaxed geometry.

The energy above the most stable polymorph in this dataset comes out at 8.1 kJ/mol of atoms. The value obtained for the formation energy (no corrections) is -0.66 eV per atom. The value obtained for the raw total energy is -12.12 eV per formula unit. As for the total moment: 0.00 μB per formula unit.

The structure belongs to space group I-42d (No. 122); the cell edges are 6.903, 6.903 and 13.934 Å and the angles 90.00°, 90.00° and 90.00°. The distinct sites, in fractional coordinates, are In at (0.000, 0.000, 0.000), Ga at (0.000, 0.000, 0.500) and Cl at (0.226, 0.250, 0.625).

(8)
The following is a DFT calculation (GGA-PBE) of crystalline In2GaCl5 at its relaxed geometry.

The value obtained for the formation energy (no corrections) is -0.96 eV per atom. The value obtained for the raw total energy is -25.40 eV per formula unit. As for the total moment: 0.00 μB per formula unit.

The structure belongs to space group I4mm (No. 107); the cell edges are 7.273, 7.273 and 10.133 Å and the angles 90.00°, 90.00° and 90.00°. The distinct sites, in fractional coordinates, are In at (0.000, 0.500, 0.000), Ga at (0.000, 0.000, 0.226), Cl at (0.000, 0.000, 0.445) and Cl at (0.223, 0.223, 0.173).

(9)
The following is a DFT calculation (GGA-PBE) of crystalline In2GaCl at its relaxed geometry.

The energy above the most stable polymorph in this dataset comes out at 6.6 kJ/mol of atoms. The value obtained for the formation energy (no corrections) is -0.19 eV per atom. The value obtained for the raw total energy is -11.10 eV per formula unit. As for the total moment: 0.00 μB per formula unit.

The structure belongs to space group I-42d (No. 122); the cell edges are 6.262, 6.262 and 13.698 Å and the angles 90.00°, 90.00° and 90.00°. The distinct sites, in fractional coordinates, are In at (0.207, 0.250, 0.125), Ga at (0.000, 0.000, 0.000) and Cl at (0.000, 0.000, 0.500).

(10)
The following is a DFT calculation (GGA-PBE) of crystalline InGa2Cl6 at its relaxed geometry.

The value obtained for the formation energy (no corrections) is -0.93 eV per atom. The value obtained for the raw total energy is -28.24 eV per formula unit. As for the total moment: 0.00 μB per formula unit.

The structure belongs to space group C2/c (No. 15); the cell edges are 14.639, 12.806 and 7.867 Å and the angles 90.00°, 113.26° and 90.00°. The distinct sites, in fractional coordinates, are In at (0.000, 0.137, 0.250), Ga at (0.215, 0.416, 0.200), Cl at (0.118, 0.066, 0.679), Cl at (0.155, 0.499, 0.906) and Cl at (0.179, 0.246, 0.181).

(11)
The following is a DFT calculation (GGA-PBE) of crystalline In2GaCl3 at its relaxed geometry.

The energy above the most stable polymorph in this dataset comes out at 0.0 kJ/mol of atoms. The value obtained for the formation energy (no corrections) is -0.78 eV per atom. The value obtained for the raw total energy is -18.71 eV per formula unit. As for the total moment: 0.00 μB per formula unit.

The structure belongs to space group P-1 (No. 2); the cell edges are 6.232, 7.790 and 7.895 Å and the angles 102.08°, 101.75° and 102.26°. The distinct sites, in fractional coordinates, are In at (0.095, 0.311, 0.035), In at (0.246, 0.345, 0.632), Ga at (0.434, 0.956, 0.707), Cl at (0.112, 0.067, 0.264), Cl at (0.258, 0.606, 0.416) and Cl at (0.404, 0.747, 0.928).

(12)
The following is a DFT calculation (GGA-PBE) of crystalline InGaCl2 at its relaxed geometry.

The energy above the most stable polymorph in this dataset comes out at 0.0 kJ/mol of atoms. The value obtained for the formation energy (no corrections) is -0.75 eV per atom. The value obtained for the raw total energy is -12.45 eV per formula unit. As for the total moment: 0.00 μB per formula unit.

The structure belongs to space group C2 (No. 5); the cell edges are 13.362, 6.148 and 6.281 Å and the angles 90.00°, 106.12° and 90.00°. The distinct sites, in fractional coordinates, are In at (0.116, 0.000, 0.400), Ga at (0.130, 0.497, 0.909), Cl at (0.157, 0.507, 0.488) and Cl at (0.164, 0.968, 0.931).

One value per record, in order, for N(E_F): 0.3552, 0.4214, 0.0000, 0.0000, 0.5180, 0.9500, 0.0000, 0.0000, 0.0213, 0.3266, 0.0000, 0.0000 states/eV/atom.